Entry 1:
Material: KAlS2N
Method: DFT, PBE
State: optimized geometry

Summary:
Electronic total energy, eV for the cell shown: -21.9

a = 4.9858 Å, b = 4.9858 Å, c = 3.8491 Å
α = 90.00°, β = 90.00°, γ = 90.00°
Closest atoms and distances in Å follow each position.
Sites, in units of the cell vectors:
K: 0.5000 0.5000 0.5000  8 S 3.15, 4 N 3.53
N: 0.0000 0.0000 0.5000  2 Al 1.92
S: 0.5000 0.0000 0.0000  2 Al 2.49
S: 0.0000 0.5000 0.0000  2 Al 2.49
Al: 0.0000 0.0000 0.0000  2 N 1.92


Entry 2:
Material: AgTeI2N
Method: DFT, PBE
State: optimized geometry

Summary:
Electronic total energy, eV for the cell shown: -12.4

a = 5.9007 Å, b = 5.9007 Å, c = 4.0936 Å
α = 90.00°, β = 90.00°, γ = 90.00°
Closest atoms and distances in Å follow each position.
Sites, in units of the cell vectors:
N: 0.0000 0.0000 0.5000  2 Ag 2.05
Te: 0.5000 0.5000 0.5000  8 I 3.59
I: 0.0000 0.5000 0.0000  2 Ag 2.95
Ag: 0.0000 0.0000 0.0000  2 N 2.05
I: 0.5000 0.0000 0.0000  2 Ag 2.95


Entry 3:
Material: Mg2AlTl
Method: DFT, PBE
State: optimized geometry

Summary:
Energy relative to the elements, eV per atom: 0.20

a = 4.4244 Å, b = 4.4244 Å, c = 10.4599 Å
α = 77.79°, β = 77.79°, γ = 90.00°
Closest atoms and distances in Å follow each position.
Sites, in units of the cell vectors:
Mg: 0.3750 0.3863 0.7500  2 Al 2.93, 2 Tl 2.96, 4 Mg 3.06-3.20
Al: 0.5000 0.5000 0.0000  4 Mg 2.93, 4 Tl 3.13
Tl: 0.7500 0.2500 0.5000  4 Mg 2.96, 4 Al 3.13
Mg: 0.1363 0.6250 0.2500  2 Al 2.93, 2 Tl 2.96, 4 Mg 3.06-3.20
Tl: 0.0000 0.0000 0.0000  4 Mg 2.96, 4 Al 3.13
Al: 0.2500 0.7500 0.5000  4 Mg 2.93, 4 Tl 3.13
Mg: 0.6137 0.1250 0.2500  2 Al 2.93, 2 Tl 2.96, 4 Mg 3.06-3.20
Mg: 0.8750 0.8637 0.7500  2 Al 2.93, 2 Tl 2.96, 4 Mg 3.06-3.20


Entry 4:
Material: TaTlAg
Method: DFT, PBE
State: optimized geometry

Summary:
Energy relative to the elements, eV per atom: 0.46

a = 7.0515 Å, b = 7.0515 Å, c = 7.0515 Å
α = 155.61°, β = 155.61°, γ = 34.77°
Closest atoms and distances in Å follow each position.
Sites, in units of the cell vectors:
Ag: 0.9933 0.9933 0.0000  4 Ta 2.96, 4 Ag 2.98, 4 Tl 3.16
Tl: 0.6683 0.6683 0.0000  4 Tl 2.98, 4 Ta 3.11, 4 Ag 3.16
Ta: 0.3384 0.3384 0.0000  4 Ag 2.96, 4 Ta 2.98, 4 Tl 3.11


Entry 5:
Material: HoTlPbBr6
Method: DFT, PBE
State: optimized geometry

Summary:
Electronic total energy, eV for the cell shown: -65.6

a = 7.6304 Å, b = 7.6304 Å, c = 14.2168 Å
α = 90.00°, β = 90.00°, γ = 120.00°
Closest atoms and distances in Å follow each position.
Sites, in units of the cell vectors:
Br: 0.9751 0.3528 0.1350  1 Ho 2.81, 1 Pb 3.05
Br: 0.6472 0.0249 0.3650  1 Ho 2.81, 1 Pb 3.05
Br: 0.9751 0.6223 0.3650  1 Ho 2.81, 1 Pb 3.05
Pb: 0.6667 0.3333 0.7500  6 Br 3.05
Br: 0.3528 0.9751 0.6350  1 Ho 2.81, 1 Pb 3.05
Br: 0.6472 0.6223 0.1350  1 Ho 2.81, 1 Pb 3.05
Br: 0.6223 0.6472 0.6350  1 Ho 2.81, 1 Pb 3.05
Ho: 0.6667 0.3333 0.2500  6 Br 2.81
Tl: 0.0000 0.0000 0.5000  6 Br 3.39
Tl: 0.0000 0.0000 0.0000  6 Br 3.39
Br: 0.3528 0.3777 0.8650  1 Ho 2.81, 1 Pb 3.05
Ho: 0.3333 0.6667 0.7500  6 Br 2.81
Br: 0.0249 0.6472 0.8650  1 Ho 2.81, 1 Pb 3.05
Br: 0.3777 0.0249 0.1350  1 Ho 2.81, 1 Pb 3.05
Pb: 0.3333 0.6667 0.2500  6 Br 3.05
Br: 0.0249 0.3777 0.6350  1 Ho 2.81, 1 Pb 3.05
Br: 0.3777 0.3528 0.3650  1 Ho 2.81, 1 Pb 3.05
Br: 0.6223 0.9751 0.8650  1 Ho 2.81, 1 Pb 3.05


Entry 6:
Material: AcAlSb
Method: DFT, PBE
State: optimized geometry

Summary:
Electronic total energy, eV for the cell shown: -13.2

a = 3.8875 Å, b = 3.8875 Å, c = 6.3435 Å
α = 107.84°, β = 107.84°, γ = 90.00°
Closest atoms and distances in Å follow each position.
Sites, in units of the cell vectors:
Sb: 0.3167 0.3167 0.6334  4 Al 2.98
Al: 0.9172 0.9172 0.8344  4 Sb 2.98
Ac: 0.6161 0.6161 0.2321  5 Sb 3.42-3.58, 5 Al 3.44-3.57


Entry 7:
Material: Zn2BO
Method: DFT, PBE
State: optimized geometry

Summary:
Electronic total energy, eV for the cell shown: -11.5

a = 3.9952 Å, b = 3.9952 Å, c = 3.9952 Å
α = 60.00°, β = 60.00°, γ = 60.00°
Closest atoms and distances in Å follow each position.
Sites, in units of the cell vectors:
O: 0.5000 0.5000 0.5000  8 Zn 2.45
Zn: 0.2500 0.2500 0.2500  4 O 2.45, 4 B 2.45
Zn: 0.7500 0.7500 0.7500  4 O 2.45, 4 B 2.45
B: 0.0000 0.0000 0.0000  8 Zn 2.45


Entry 8:
Material: Re3Te
Method: DFT, PBE
State: optimized geometry

Summary:
Electronic total energy, eV for the cell shown: -37.6

a = 4.0693 Å, b = 2.9401 Å, c = 6.0322 Å
α = 69.07°, β = 90.00°, γ = 90.00°
Closest atoms and distances in Å follow each position.
Sites, in units of the cell vectors:
Re: 0.5000 0.7500 0.7500  10 Re 2.80-2.94, 2 Te 2.84
Re: 0.0000 0.4144 0.5293  1 Re 2.49
Te: 0.5000 0.2500 0.2500  6 Re 2.79-2.84, 2 Te 2.94
Re: 0.0000 0.0856 0.9707  1 Re 2.49


Entry 9:
Material: Pm3PrEr3
Method: DFT, PBE
State: optimized geometry

Summary:
Energy relative to the elements, eV per atom: 0.23

a = 8.2038 Å, b = 6.3770 Å, c = 6.3770 Å
α = 102.95°, β = 115.39°, γ = 115.39°
Closest atoms and distances in Å follow each position.
Sites, in units of the cell vectors:
Pm: 0.9748 0.0000 0.3613  1 Pr 3.18, 3 Er 3.32-3.53
Pm: 0.6135 0.6387 0.6387  1 Pr 3.18, 3 Er 3.32-3.53
Pr: 0.5610 0.0000 0.0000  3 Pm 3.18, 6 Er 3.25-3.47
Er: 0.4177 0.4023 0.0000  2 Pr 3.25-3.47, 5 Pm 3.32-3.58
Er: 0.4177 0.0000 0.4023  2 Pr 3.25-3.47, 5 Pm 3.32-3.58
Er: 0.0155 0.5977 0.5977  2 Pr 3.25-3.47, 5 Pm 3.32-3.58
Pm: 0.9748 0.3613 0.0000  1 Pr 3.18, 3 Er 3.32-3.53